## Sm2ThPdN4 (PBE-GGA)

Data for a relaxed Sm2ThPdN4 crystal.

Unit cell a=3.506 b=6.195 c=11.913 alpha=90.00 beta=90.00 gamma=106.44
Sites, in units of the cell vectors:
Sm: 0.372 0.744 0.552
Sm: 0.628 0.256 0.052
Sm: 0.628 0.256 0.448
Sm: 0.372 0.744 0.948
Th: 0.114 0.228 0.750
Th: 0.886 0.772 0.250
Pd: 0.852 0.704 0.750
Pd: 0.148 0.296 0.250
N: 0.284 0.567 0.130
N: 0.716 0.433 0.630
N: 0.716 0.433 0.870
N: 0.284 0.567 0.370
N: 0.000 0.000 0.500
N: 0.000 0.000 0.000
N: 0.462 0.924 0.750
N: 0.538 0.076 0.250

Summary:
ΔE_f (raw), eV/atom: -0.949
D(E_F), states/eV/f.u.: 5.4

---

## SmZr2PdN4 (PBE-GGA)

Data for a relaxed SmZr2PdN4 crystal.

Unit cell a=3.294 b=5.865 c=11.571 alpha=90.00 beta=90.00 gamma=106.31
Sites, in units of the cell vectors:
Sm: 0.120 0.239 0.750
Sm: 0.880 0.761 0.250
Zr: 0.369 0.737 0.551
Zr: 0.631 0.263 0.051
Zr: 0.631 0.263 0.449
Zr: 0.369 0.737 0.949
Pd: 0.856 0.713 0.750
Pd: 0.144 0.287 0.250
N: 0.269 0.538 0.106
N: 0.731 0.462 0.606
N: 0.731 0.462 0.894
N: 0.269 0.538 0.394
N: 0.000 0.000 0.500
N: 0.000 0.000 0.000
N: 0.468 0.936 0.750
N: 0.532 0.064 0.250

Summary:
ΔE_f (raw), eV/atom: -1.044
D(E_F), states/eV/f.u.: 1.4

---

## Sn2PdN2 (PBE-GGA)

Data for a relaxed Sn2PdN2 crystal.

Unit cell a=4.820 b=4.820 c=5.065 alpha=61.59 beta=61.59 gamma=90.00
Sites, in units of the cell vectors:
Sn: 0.750 0.250 0.500
Sn: 0.250 0.750 0.500
Pd: 0.000 0.000 0.000
N: 0.423 0.423 0.155
N: 0.577 0.577 0.845

Summary:
Distance to the lowest polymorph of the same formula, meV per atom: 0.0
ΔE_f (raw), eV/atom: 0.307
D(E_F), states/eV/f.u.: 1.6

---

## Sn3PdN (PBE-GGA)

Data for a relaxed Sn3PdN crystal.

Unit cell a=5.108 b=5.108 c=5.108 alpha=90.00 beta=90.00 gamma=90.00
Sites, in units of the cell vectors:
Sn: 0.000 0.500 0.000
Sn: 0.000 0.000 0.500
Sn: 0.500 0.000 0.000
Pd: 0.000 0.000 0.000
N: 0.500 0.500 0.500

Summary:
Distance to the lowest polymorph of the same formula, meV per atom: 642.4
ΔE_f (raw), eV/atom: 1.066
D(E_F), states/eV/f.u.: 2.8

---

## Sn2PdN4 (PBE-GGA)

Data for a relaxed Sn2PdN4 crystal.

Unit cell a=4.085 b=4.085 c=6.346 alpha=71.22 beta=71.22 gamma=90.00
Sites, in units of the cell vectors:
Sn: 0.635 0.635 0.729
Sn: 0.365 0.365 0.271
Pd: 0.000 0.000 0.000
N: 0.818 0.818 0.364
N: 0.182 0.182 0.636
N: 0.000 0.500 0.000
N: 0.500 0.000 0.000

Summary:
ΔE_f (raw), eV/atom: 1.302
D(E_F), states/eV/f.u.: 2.9

---

## Sn2PdN2 (PBE-GGA)

Data for a relaxed Sn2PdN2 crystal.

Unit cell a=6.817 b=6.817 c=3.419 alpha=90.00 beta=90.00 gamma=90.00
Sites, in units of the cell vectors:
Sn: 0.151 0.651 0.500
Sn: 0.651 0.849 0.500
Sn: 0.849 0.349 0.500
Sn: 0.349 0.151 0.500
Pd: 0.000 0.000 0.000
Pd: 0.500 0.500 0.000
N: 0.280 0.780 0.000
N: 0.780 0.720 0.000
N: 0.720 0.220 0.000
N: 0.220 0.280 0.000

Summary:
Distance to the lowest polymorph of the same formula, meV per atom: 336.1
ΔE_f (raw), eV/atom: 0.643
D(E_F), states/eV/f.u.: 1.3

---

## Sn2PdN (PBE-GGA)

Data for a relaxed Sn2PdN crystal.

Unit cell a=6.066 b=6.066 c=6.180 alpha=60.61 beta=60.61 gamma=90.00
Sites, in units of the cell vectors:
Sn: 0.570 0.125 0.250
Sn: 0.180 0.625 0.250
Sn: 0.375 0.430 0.750
Sn: 0.875 0.820 0.750
Pd: 0.000 0.000 0.000
Pd: 0.750 0.250 0.500
N: 0.500 0.500 0.000
N: 0.250 0.750 0.500

Summary:
ΔE_f (raw), eV/atom: 0.112
D(E_F), states/eV/f.u.: 1.5

---

## Sn3PdN (PBE-GGA)

Data for a relaxed Sn3PdN crystal.

Unit cell a=4.680 b=4.680 c=4.680 alpha=90.00 beta=90.00 gamma=90.00
Sites, in units of the cell vectors:
Sn: 0.000 0.500 0.000
Sn: 0.000 0.000 0.500
Sn: 0.500 0.000 0.000
Pd: 0.500 0.500 0.500
N: 0.000 0.000 0.000

Summary:
Distance to the lowest polymorph of the same formula, meV per atom: 0.0
ΔE_f (raw), eV/atom: 0.423
D(E_F), states/eV/f.u.: 3.4

---

What is the formula in the fifth record? Sn2PdN4